(1)
DFT (PBE) results for a relaxed structure of Fe2H5Rh2.

```
Fe2H5Rh2
1.0
-0.2369 1.9262 -2.1239
-5.1282 -1.3323 1.3300
2.0916 3.4399 2.8811
Fe H Rh
2 5 2
Cartesian
-2.5229 2.1568 2.2499
-0.7506 1.8770 -0.1627
-1.1986 3.1527 3.0038
-2.0749 0.8811 -0.9166
-0.8553 1.6604 1.6012
-2.4181 2.3734 0.4860
0.0000 0.0000 0.0000
0.4631 2.6125 2.3127
-3.7366 1.4213 -0.2255
```

VASP energy: -48.0 eV per cell
N(E_F): 4.09 states/eV/cell


(2)
DFT (PBE) results for a relaxed structure of FeHRh3.

```
FeHRh3
1.0
2.7480 0.0000 0.0000
0.0000 3.8144 -2.7454
0.0000 3.8144 2.7454
H Rh Fe
1 3 1
Cartesian
1.3740 3.8144 -2.3051
1.3740 1.9150 0.3956
1.3740 5.7139 0.3956
0.0000 3.8144 1.7132
0.0000 3.8144 -0.9025
```

distance to the lowest polymorph of the same formula: 51 meV per atom
N(E_F): 5.18 states/eV/cell